Record 1
# Pm2PrScSe4 (PBE, relaxed)
# Formation energy (no corrections) = -1.742 eV/atom
# N(E_F) = 4.86 states/eV/cell
# Crystal system = monoclinic
data_Pm2PrScSe4
_cell_length_a 7.165
_cell_length_b 4.092
_cell_length_c 7.258
_cell_angle_alpha 90.00
_cell_angle_beta 108.84
_cell_angle_gamma 90.00
_space_group_name_H-M_alt 'P 1 2/m 1'
_space_group_IT_number 10
loop_
_space_group_symop_operation_xyz
'x,y,z'
'-x,-y,-z'
'-x,y,-z'
'x,-y,z'
loop_
_atom_site_label
_atom_site_type_symbol
_atom_site_fract_x
_atom_site_fract_y
_atom_site_fract_z
Pm1 Pm 0.000 0.000 0.000
Pm2 Pm 0.000 0.500 0.500
Pr1 Pr 0.500 0.000 0.500
Sc1 Sc 0.500 0.500 0.000
Se1 Se 0.255 0.500 0.237
Se2 Se 0.266 0.000 0.770


Record 2
# Pm3Pr4ScSe8 (PBE, relaxed)
# Formation energy (no corrections) = -1.789 eV/atom
# N(E_F) = 32.30 states/eV/cell
# Crystal system = trigonal
data_Pm3Pr4ScSe8
_cell_length_a 8.3655
_cell_length_b 8.3655
_cell_length_c 20.7166
_cell_angle_alpha 90.00
_cell_angle_beta 90.00
_cell_angle_gamma 120.00
_space_group_name_H-M_alt 'R -3 m'
_space_group_IT_number 166
_space_group_name_Hall '-R 3 2"'
loop_
_atom_site_label
_atom_site_type_symbol
_atom_site_fract_x
_atom_site_fract_y
_atom_site_fract_z
Pm1 Pm 0.0000 0.5000 0.0000
Pr1 Pr 0.0000 0.0000 0.5000
Pr2 Pr 0.0000 0.5000 0.5000
Sc1 Sc 0.0000 0.0000 0.0000
Se1 Se 0.0000 0.0000 0.2521
Se2 Se 0.0127 0.5064 0.7448


Record 3
# Pm4PrSm2Sc (PBE, relaxed)
# Formation energy from the elements = 0.123 eV per atom
# N(E_F) = 17.72 states/eV/cell
# Crystal system = tetragonal
data_Pm4PrSm2Sc
_cell_length_a 5.948
_cell_length_b 5.948
_cell_length_c 7.489
_cell_angle_alpha 90.00
_cell_angle_beta 90.00
_cell_angle_gamma 90.00
_space_group_name_H-M_alt 'P 4/m m m'
_space_group_IT_number 123
_space_group_name_Hall '-P 4 2'
loop_
_atom_site_label
_atom_site_type_symbol
_atom_site_fract_x
_atom_site_fract_y
_atom_site_fract_z
Pm1 Pm 0.000 0.500 0.236
Pr1 Pr 0.000 0.000 0.500
Sm1 Sm 0.000 0.000 0.000
Sm2 Sm 0.500 0.500 0.500
Sc1 Sc 0.500 0.500 0.000


Record 4
# Pm2Pr6SmSc (PBE, relaxed)
# Formation energy from the elements = 0.220 eV per atom
# N(E_F) = 29.84 states/eV/cell
# Crystal system = monoclinic
data_Pm2Pr6SmSc
_cell_length_a 10.221
_cell_length_b 7.494
_cell_length_c 9.312
_cell_angle_alpha 90.00
_cell_angle_beta 98.90
_cell_angle_gamma 90.00
_space_group_name_H-M_alt 'C 1 2/m 1'
_space_group_IT_number 12
loop_
_space_group_symop_operation_xyz
'x,y,z'
'-x,-y,-z'
'-x,y,-z'
'x,-y,z'
'x+1/2,y+1/2,z'
'-x+1/2,-y+1/2,-z'
'-x+1/2,y+1/2,-z'
'x+1/2,-y+1/2,z'
loop_
_atom_site_label
_atom_site_type_symbol
_atom_site_fract_x
_atom_site_fract_y
_atom_site_fract_z
Pm1 Pm 0.154 0.000 0.444
Pr1 Pr 0.131 0.276 0.767
Pr2 Pr 0.133 0.500 0.126
Sm1 Sm 0.000 0.000 0.000
Sc1 Sc 0.000 0.500 0.500